Record 1
{
  "formula": "ZrInBr",
  "functional": "GGA-PBEsol",
  "state": "relaxed",
  "cell": [[-0.697, -2.378, -2.216], [3.139, 0.493, 0.977], [-1.003, -5.120, 5.810]],
  "species": ["Br", "Zr", "In"],
  "fractional_positions": [[0.000, 0.000, 0.070], [0.333, 0.667, 0.312], [0.667, 0.333, 0.618]],
  "dos_at_fermi_per_ev_atom": 0.20,
  "formation_energy_uncorrected_mev_per_atom": -596,
  "rho_g_cm3": 6.35
}

Record 2
{
  "formula": "ZnBi6P2O15",
  "functional": "GGA-PBEsol",
  "state": "relaxed",
  "cell": [[5.415, 0.000, 0.000], [-2.707, 7.597, -0.019], [0.000, -4.267, 16.444]],
  "species": ["Zn", "Zn", "Bi", "Bi", "Bi", "Bi", "Bi", "Bi", "Bi", "Bi", "Bi", "Bi", "Bi", "Bi", "P", "P", "P", "P", "O", "O", "O", "O", "O", "O", "O", "O", "O", "O", "O", "O", "O", "O", "O", "O", "O", "O", "O", "O", "O", "O", "O", "O", "O", "O", "O", "O", "O", "O"],
  "fractional_positions": [[0.022, 0.380, 0.771], [0.643, 0.620, 0.229], [0.522, 0.418, 0.389], [0.866, 0.148, 0.926], [0.778, 0.956, 0.594], [0.298, 0.054, 0.743], [0.648, 0.721, 0.757], [0.927, 0.279, 0.243], [0.104, 0.582, 0.611], [0.822, 0.044, 0.406], [0.200, 0.806, 0.910], [0.243, 0.946, 0.257], [0.394, 0.194, 0.090], [0.717, 0.852, 0.074], [0.553, 0.432, 0.899], [0.121, 0.568, 0.101], [0.212, 0.721, 0.428], [0.491, 0.279, 0.572], [0.531, 0.943, 0.839], [0.822, 0.859, 0.292], [0.643, 0.451, 0.642], [0.379, 0.714, 0.501], [0.665, 0.286, 0.499], [0.053, 0.000, 0.000], [0.031, 0.951, 0.837], [0.923, 0.651, 0.148], [0.668, 0.181, 0.335], [0.937, 0.720, 0.451], [0.217, 0.280, 0.549], [0.978, 0.814, 0.661], [0.583, 0.402, 0.259], [0.359, 0.894, 0.397], [0.181, 0.598, 0.741], [0.465, 0.106, 0.603], [0.164, 0.186, 0.339], [0.588, 0.057, 0.161], [0.963, 0.141, 0.708], [0.080, 0.049, 0.163], [0.190, 0.640, 0.025], [0.544, 0.000, 0.000], [0.655, 0.642, 0.914], [0.381, 0.650, 0.160], [0.013, 0.358, 0.086], [0.550, 0.360, 0.975], [0.192, 0.549, 0.358], [0.731, 0.350, 0.840], [0.272, 0.349, 0.852], [0.487, 0.819, 0.665]],
  "dos_at_fermi_per_ev_atom": 0.00,
  "formation_energy_uncorrected_mev_per_atom": -1647,
  "rho_g_cm3": 7.97
}